No. 1
A plane-wave DFT calculation with GGA-PBE was carried out for Zr4Ru5 after structural relaxation.

Geometry as CIF:
```
data_Zr4Ru5
_symmetry_space_group_name_H-M 'P 63/m c m'
_symmetry_Int_Tables_number 193
_symmetry_space_group_name_Hall '-P 6c 2'
_cell_length_a 8.0092
_cell_length_b 8.0092
_cell_length_c 5.6324
_cell_angle_alpha 90.00
_cell_angle_beta 90.00
_cell_angle_gamma 120.00
loop_
_atom_site_label
_atom_site_fract_x
_atom_site_fract_y
_atom_site_fract_z
_atom_site_occupancy
Zr1 0.0000 0.0000 0.0000 1
Zr2 0.0000 0.3748 0.2500 1
Ru1 0.0000 0.3039 0.7500 1
Ru2 0.3333 0.6667 0.0000 1
```

* D(E_F): 0.950 states/eV per atom
* energy above the lowest structure with this stoichiometry: 10 meV per atom
* DFT total energy: -83.004 eV per formula unit
* calculated volume: 313 Å³ per cell
* energy of formation: -0.27 eV per atom
* crystal system: hexagonal

***

No. 2
A plane-wave DFT calculation with GGA-PBE was carried out for ZrRu after structural relaxation.

Geometry as CIF:
```
data_ZrRu
_symmetry_space_group_name_H-M 'P -3 m 1'
_symmetry_Int_Tables_number 164
_symmetry_space_group_name_Hall '-P 3 2"'
_cell_length_a 2.9379
_cell_length_b 2.9379
_cell_length_c 9.6326
_cell_angle_alpha 90.00
_cell_angle_beta 90.00
_cell_angle_gamma 120.00
loop_
_atom_site_label
_atom_site_fract_x
_atom_site_fract_y
_atom_site_fract_z
_atom_site_occupancy
Zr1 0.3333 0.6667 0.3528 1
Ru1 0.3333 0.6667 0.8973 1
```

* D(E_F): 1.502 states/eV per atom
* DFT total energy: -17.457 eV per formula unit
* calculated volume: 72 Å³ per cell
* energy of formation: 0.18 eV per atom
* crystal system: trigonal

***

No. 3
A plane-wave DFT calculation with GGA-PBE was carried out for ZrRu after structural relaxation.

Geometry as CIF:
```
data_ZrRu
_symmetry_space_group_name_H-M 'P 63/m m c'
_symmetry_Int_Tables_number 194
_symmetry_space_group_name_Hall '-P 6c 2c'
_cell_length_a 4.4365
_cell_length_b 4.4365
_cell_length_c 5.4595
_cell_angle_alpha 90.00
_cell_angle_beta 90.00
_cell_angle_gamma 120.00
loop_
_atom_site_label
_atom_site_fract_x
_atom_site_fract_y
_atom_site_fract_z
_atom_site_occupancy
Zr1 0.3333 0.6667 0.2500 1
Ru1 0.3333 0.6667 0.7500 1
```

* D(E_F): 0.323 states/eV per atom
* DFT total energy: -17.012 eV per formula unit
* calculated volume: 93 Å³ per cell
* energy of formation: 0.41 eV per atom
* crystal system: hexagonal

***

No. 4
A plane-wave DFT calculation with GGA-PBE was carried out for Zr3Ru after structural relaxation.

Geometry as CIF:
```
data_Zr3Ru
_symmetry_space_group_name_H-M 'P n m a'
_symmetry_Int_Tables_number 62
_symmetry_space_group_name_Hall '-P 2ac 2n'
_cell_length_a 6.2617
_cell_length_b 9.2728
_cell_length_c 5.8300
_cell_angle_alpha 90.00
_cell_angle_beta 90.00
_cell_angle_gamma 90.00
loop_
_atom_site_label
_atom_site_fract_x
_atom_site_fract_y
_atom_site_fract_z
_atom_site_occupancy
Zr1 0.0369 0.2500 0.1680 1
Zr2 0.2062 0.0532 0.6337 1
Ru1 0.1093 0.7500 0.3903 1
```

* D(E_F): 1.119 states/eV per atom
* DFT total energy: -35.910 eV per formula unit
* calculated volume: 339 Å³ per cell
* energy of formation: -0.25 eV per atom
* crystal system: orthorhombic

***

No. 5
A plane-wave DFT calculation with GGA-PBE was carried out for Zr3Ru after structural relaxation.

Geometry as CIF:
```
data_Zr3Ru
_symmetry_space_group_name_H-M 'I m m m'
_symmetry_Int_Tables_number 71
_symmetry_space_group_name_Hall '-I 2 2'
_cell_length_a 3.3411
_cell_length_b 4.9281
_cell_length_c 9.8154
_cell_angle_alpha 90.00
_cell_angle_beta 90.00
_cell_angle_gamma 90.00
loop_
_atom_site_label
_atom_site_fract_x
_atom_site_fract_y
_atom_site_fract_z
_atom_site_occupancy
Zr1 0.0000 0.0000 0.0000 1
Zr2 0.0000 0.5000 0.2242 1
Ru1 0.0000 0.0000 0.5000 1
```

* D(E_F): 1.069 states/eV per atom
* DFT total energy: -36.116 eV per formula unit
* calculated volume: 162 Å³ per cell
* energy of formation: -0.30 eV per atom
* crystal system: orthorhombic

***

No. 6
A plane-wave DFT calculation with GGA-PBE was carried out for ZrRu3 after structural relaxation.

Geometry as CIF:
```
data_ZrRu3
_symmetry_space_group_name_H-M 'P m -3 m'
_symmetry_Int_Tables_number 221
_symmetry_space_group_name_Hall '-P 4 2 3'
_cell_length_a 4.8858
_cell_length_b 4.8858
_cell_length_c 4.8858
_cell_angle_alpha 90.00
_cell_angle_beta 90.00
_cell_angle_gamma 90.00
loop_
_atom_site_label
_atom_site_fract_x
_atom_site_fract_y
_atom_site_fract_z
_atom_site_occupancy
Zr1 0.0000 0.0000 0.0000 1
Ru1 0.0000 0.0000 0.5000 1
```

* D(E_F): 1.551 states/eV per atom
* DFT total energy: -26.624 eV per formula unit
* calculated volume: 117 Å³ per cell
* energy of formation: 2.44 eV per atom
* crystal system: cubic

***

No. 7
A plane-wave DFT calculation with GGA-PBE was carried out for ZrRu after structural relaxation.

Geometry as CIF:
```
data_ZrRu
_symmetry_space_group_name_H-M 'P 6/m m m'
_symmetry_Int_Tables_number 191
_symmetry_space_group_name_Hall '-P 6 2'
_cell_length_a 5.6755
_cell_length_b 5.6755
_cell_length_c 4.2951
_cell_angle_alpha 90.00
_cell_angle_beta 90.00
_cell_angle_gamma 120.00
loop_
_atom_site_label
_atom_site_fract_x
_atom_site_fract_y
_atom_site_fract_z
_atom_site_occupancy
Zr1 0.0000 0.0000 0.0000 1
Zr2 0.3333 0.6667 0.5000 1
Ru1 0.0000 0.5000 0.0000 1
```

* D(E_F): 0.468 states/eV per atom
* DFT total energy: -18.360 eV per formula unit
* calculated volume: 120 Å³ per cell
* energy of formation: -0.27 eV per atom
* crystal system: hexagonal

***

No. 8
A plane-wave DFT calculation with GGA-PBE was carried out for ZrRu3 after structural relaxation.

Geometry as CIF:
```
data_ZrRu3
_symmetry_space_group_name_H-M 'P m -3 n'
_symmetry_Int_Tables_number 223
_symmetry_space_group_name_Hall '-P 4n 2 3'
_cell_length_a 5.0563
_cell_length_b 5.0563
_cell_length_c 5.0563
_cell_angle_alpha 90.00
_cell_angle_beta 90.00
_cell_angle_gamma 90.00
loop_
_atom_site_label
_atom_site_fract_x
_atom_site_fract_y
_atom_site_fract_z
_atom_site_occupancy
Zr1 0.0000 0.0000 0.0000 1
Ru1 0.0000 0.2500 0.5000 1
```

* D(E_F): 1.520 states/eV per atom
* DFT total energy: -35.811 eV per formula unit
* calculated volume: 129 Å³ per cell
* energy of formation: 0.14 eV per atom
* crystal system: cubic

***

No. 9
A plane-wave DFT calculation with GGA-PBE was carried out for Zr7Ru6 after structural relaxation.

Geometry as CIF:
```
data_Zr7Ru6
_symmetry_space_group_name_H-M 'R -3 m'
_symmetry_Int_Tables_number 166
_symmetry_space_group_name_Hall '-R 3 2"'
_cell_length_a 5.7998
_cell_length_b 5.7998
_cell_length_c 25.6218
_cell_angle_alpha 90.00
_cell_angle_beta 90.00
_cell_angle_gamma 120.00
loop_
_atom_site_label
_atom_site_fract_x
_atom_site_fract_y
_atom_site_fract_z
_atom_site_occupancy
Zr1 0.0000 0.0000 0.0000 1
Zr2 0.0071 0.5036 0.4179 1
Ru1 0.0000 0.0000 0.1674 1
Ru2 0.0000 0.0000 0.3466 1
Ru3 0.0000 0.0000 0.4513 1
```

* D(E_F): 1.198 states/eV per atom
* DFT total energy: -110.153 eV per formula unit
* calculated volume: 746 Å³ per cell
* energy of formation: 0.41 eV per atom
* crystal system: trigonal

***

No. 10
A plane-wave DFT calculation with GGA-PBE was carried out for ZrRu3 after structural relaxation.

Geometry as CIF:
```
data_ZrRu3
_symmetry_space_group_name_H-M 'P m m 2'
_symmetry_Int_Tables_number 25
_symmetry_space_group_name_Hall 'P 2 -2'
_cell_length_a 2.9309
_cell_length_b 4.4828
_cell_length_c 4.7595
_cell_angle_alpha 90.00
_cell_angle_beta 90.00
_cell_angle_gamma 90.00
loop_
_atom_site_label
_atom_site_fract_x
_atom_site_fract_y
_atom_site_fract_z
_atom_site_occupancy
Zr1 0.0000 0.0000 0.0000 1
Ru1 0.0000 0.5000 0.6144 1
Ru2 0.5000 0.0000 0.4967 1
Ru3 0.5000 0.5000 0.1258 1
```

* D(E_F): 1.197 states/eV per atom
* DFT total energy: -36.636 eV per formula unit
* calculated volume: 63 Å³ per cell
* energy of formation: -0.07 eV per atom
* crystal system: orthorhombic